6
Lattice="-4.643 1.979 2.481 -4.903 -0.061 -2.754 -4.070 -3.544 1.583" Properties=species:S:1:pos:R:3 comment="Mg4BeCd PBEsol relaxed" e_tot_ev_per_cell=-9.5 ef_mev_per_atom=428 pbc="T T T"
Be -10.213 -1.219 0.982
Mg -5.111 -0.610 0.492
Mg -7.141 -2.378 1.281
Mg -7.427 0.377 1.729
Mg -7.556 -0.640 -0.882
Cd 0.000 0.000 0.000

=====

4
Lattice="2.912 0.000 0.000 0.000 3.960 0.000 -1.456 -1.980 7.629" Properties=species:S:1:pos:R:3 comment="Tl2ReSi PBEsol relaxed" e_tot_ev_per_cell=-22.9 raw_formation_energy_ev_per_atom=0.35 polymorph_energy_kj_per_mol_fu=0 pbc="T T T"
Re 1.456 0.000 0.000
Si 0.000 1.980 0.000
Tl 1.456 1.980 4.963
Tl 0.000 0.000 2.666

=====

4
Lattice="4.028 0.000 0.000 0.000 4.028 0.000 0.000 0.000 4.251" Properties=species:S:1:pos:R:3 comment="AsWCl2 PBEsol relaxed" e_tot_ev_per_cell=-18.7 raw_formation_energy_ev_per_atom=1.06 pbc="T T T"
As 0.000 0.000 2.126
W 2.014 2.014 2.126
Cl 0.000 2.014 0.000
Cl 2.014 0.000 0.000

=====

4
Lattice="-1.252 2.209 1.286 -0.080 -2.383 4.017 4.962 1.288 0.863" Properties=species:S:1:pos:R:3 comment="Li2MgZn PBEsol relaxed" e_tot_ev_per_cell=-7.5 ef_mev_per_atom=-64 pbc="T T T"
Zn 2.441 -0.548 2.440
Mg -0.666 -0.087 2.651
Li 2.662 2.659 1.631
Li 1.049 0.838 0.518